The following is a DFT calculation (PBE) of an optimized crystal structure of Nd2GePd2.

Unit cell a=5.7562 b=5.7562 c=11.0146 alpha=113.45 beta=113.45 gamma=43.65
With the nearest neighbours (Å) after each atom.
Positions (direct):
Nd 0.0042 0.0042 0.3371  3 Ge 3.05-3.14, 7 Pd 3.08-3.31
Nd 0.1915 0.1915 0.1136  6 Pd 3.05-3.34, 2 Ge 3.17
Nd 0.8085 0.8085 0.8864  6 Pd 3.05-3.34, 2 Ge 3.17
Nd 0.9958 0.9958 0.6629  3 Ge 3.05-3.14, 7 Pd 3.08-3.31
Ge 0.2814 0.2814 0.6636  4 Pd 2.55-2.72
Ge 0.7186 0.7186 0.3364  4 Pd 2.55-2.72
Pd 0.3448 0.3448 0.4490  3 Ge 2.55-2.72
Pd 0.4779 0.4779 0.1164  1 Ge 2.67, 1 Pd 2.80
Pd 0.5221 0.5221 0.8836  1 Ge 2.67, 1 Pd 2.80
Pd 0.6552 0.6552 0.5510  3 Ge 2.55-2.72

Computed properties:
density of states at the Fermi level = 0.78 states/eV per atom
E_form = -0.811 eV per atom
space group = C2/m (12)

The following is a DFT calculation (PBE) of an optimized crystal structure of Nd2Ge3Pd2.

Unit cell a=9.5586 b=9.5586 c=7.1352 alpha=90.00 beta=90.00 gamma=153.80
With the nearest neighbours (Å) after each atom.
Positions (direct):
Nd 0.0538 0.9462 0.7500  9 Ge 3.13-3.33
Nd 0.1560 0.8440 0.2500  6 Ge 3.07-3.13, 6 Pd 3.12-3.13
Nd 0.8440 0.1560 0.7500  6 Ge 3.07-3.13, 6 Pd 3.12-3.13
Nd 0.9462 0.0538 0.2500  9 Ge 3.13-3.33
Ge 0.2227 0.7773 0.7500  6 Pd 2.63-2.65
Ge 0.4375 0.5625 0.5667  2 Ge 2.51-2.62, 1 Pd 2.61
Ge 0.4375 0.5625 0.9333  2 Ge 2.51-2.62, 1 Pd 2.61
Ge 0.5625 0.4375 0.0667  2 Ge 2.51-2.62, 1 Pd 2.61
Ge 0.5625 0.4375 0.4333  2 Ge 2.51-2.62, 1 Pd 2.61
Ge 0.7773 0.2227 0.2500  6 Pd 2.63-2.65
Pd 0.3048 0.6952 0.0495  4 Ge 2.61-2.65, 1 Pd 2.86
Pd 0.3048 0.6952 0.4505  4 Ge 2.61-2.65, 1 Pd 2.86
Pd 0.6952 0.3048 0.5495  4 Ge 2.61-2.65, 1 Pd 2.86
Pd 0.6952 0.3048 0.9505  4 Ge 2.61-2.65, 1 Pd 2.86

Computed properties:
density of states at the Fermi level = 0.46 states/eV per atom
E_form = -0.859 eV per atom
excess energy over the best structure of this formula in the dataset = 0.00 eV per formula unit
space group = Cmcm (63)